1.
ZnAs2PdBr after structural relaxation, computed with PBE-GGA.

Summary:
Size of the total moment in μB/f.u.: 0.0
Offset from the most stable computed form in meV per atom: 228
Space group: P4/mmm (123)
Energy in eV per atom: -2.773

```
5
Lattice="4.784 0.000 0.000 0.000 4.784 0.000 0.000 0.000 5.171" Properties=species:S:1:pos:R:3 pbc="T T T"
Zn 0.000 0.000 0.000
As 0.000 2.392 0.000
As 2.392 0.000 0.000
Br 0.000 0.000 2.585
Pd 2.392 2.392 2.585
```

2.
ZrAs2PdBr after structural relaxation, computed with PBE-GGA.

Summary:
Size of the total moment in μB/f.u.: 0.0
Offset from the most stable computed form in meV per atom: 0
Space group: P4/mmm (123)
Energy in eV per atom: -4.648

```
5
Lattice="-1.395 2.417 -4.400 -0.530 -4.612 -2.365 -5.012 -0.187 1.486" Properties=species:S:1:pos:R:3 pbc="T T T"
As -0.265 -2.306 -1.183
As -0.697 1.208 -2.200
Br -2.506 -0.093 0.743
Zr 0.000 0.000 0.000
Pd -3.468 -1.191 -2.640
```

3.
ZrAsPdBr2 after structural relaxation, computed with PBE-GGA.

Summary:
Size of the total moment in μB/f.u.: 0.7
Offset from the most stable computed form in meV per atom: 0
Space group: P4/mmm (123)
Energy in eV per atom: -4.330

```
5
Lattice="-2.475 -3.600 -2.939 4.468 -2.760 -0.382 -1.288 -2.691 4.380" Properties=species:S:1:pos:R:3 pbc="T T T"
As -0.644 -1.345 2.190
Br 2.234 -1.380 -0.191
Br -1.237 -1.800 -1.470
Zr 0.000 0.000 0.000
Pd 0.353 -4.525 0.529
```

4.
ZrAs2PdBr after structural relaxation, computed with PBE-GGA.

Summary:
Size of the total moment in μB/f.u.: 0.2
Offset from the most stable computed form in meV per atom: 47
Space group: P4/mmm (123)
Energy in eV per atom: -4.601

```
5
Lattice="4.864 0.000 0.000 0.000 4.864 0.000 0.000 0.000 4.939" Properties=species:S:1:pos:R:3 pbc="T T T"
As 0.000 2.432 0.000
As 2.432 0.000 0.000
Br 0.000 0.000 2.470
Zr 2.432 2.432 2.470
Pd 0.000 0.000 0.000
```

5.
ZrAsPdBr2 after structural relaxation, computed with PBE-GGA.

Summary:
Size of the total moment in μB/f.u.: 1.1
Offset from the most stable computed form in meV per atom: 292
Space group: P4/mmm (123)
Energy in eV per atom: -4.038

```
5
Lattice="4.937 0.000 0.000 0.000 4.937 0.000 0.000 0.000 5.109" Properties=species:S:1:pos:R:3 pbc="T T T"
As 0.000 0.000 2.554
Br 0.000 2.469 0.000
Br 2.469 0.000 0.000
Zr 2.469 2.469 2.554
Pd 0.000 0.000 0.000
```

6.
Pm3AsBr3 after structural relaxation, computed with PBE-GGA.

Summary:
Size of the total moment in μB/f.u.: 0.0
Space group: I4_132 (214)
Energy in eV per atom: -5.003

```
28
Lattice="-8.227 -6.071 -1.420 8.378 -4.585 -3.919 1.375 1.625 10.101" Properties=species:S:1:pos:R:3 pbc="T T T"
Pm -3.615 -7.778 -0.894
Pm -3.652 -2.792 1.825
Pm -1.286 -0.779 4.529
Pm -1.830 -9.419 -4.222
Pm -5.480 -6.317 2.474
Pm -6.136 -4.642 -0.888
Pm -1.412 -5.871 2.016
Pm 0.342 -7.678 -1.616
Pm -2.099 -4.362 -1.650
Pm 0.298 -2.184 1.357
Pm -2.847 -4.463 5.501
Pm 0.908 -4.127 4.936
As -1.982 -6.846 -3.025
As -1.332 -3.369 3.361
As -3.732 -5.294 0.480
As 0.344 0.406 2.525
Br 7.681 -4.442 5.755
Br 1.178 -6.804 3.503
Br 3.577 -4.776 6.436
Br 3.422 0.441 9.066
Br 4.489 -4.558 -0.757
Br 0.500 -4.915 -0.156
Br 1.115 -1.408 6.297
Br 2.868 -3.064 2.740
Br 2.860 -8.296 0.135
Br 5.187 -1.147 5.633
Br 6.985 -2.662 2.184
Br 5.247 -6.336 2.943
```

no.,formation energy (no corrections) (eV/atom)
1,0.714
2,0.294
3,0.017
4,0.342
5,0.309
6,-1.586